# Pu2ZrNp3P6

Pu2ZrNp3P6 after structural relaxation (PBE, Alexandria).

Results
crystal system	monoclinic
formation energy from the elements	-1.0429	eV/atom
DOS at the Fermi energy	3.3933	states/eV per atom

Geometry as POSCAR:
```
Pu2ZrNp3P6
1.0
3.3954 -5.8812 0.0000
3.3954 5.8812 0.0000
-2.2660 0.0000 6.4039
Pu Zr Np P
2 1 3 6
direct
0.1660 0.8340 0.0000
0.8340 0.1660 0.0000
0.5000 0.5000 0.0000
0.0000 0.0000 0.5000
0.3311 0.6689 0.5000
0.6689 0.3311 0.5000
0.0924 0.4179 0.7529
0.2583 0.2583 0.2504
0.4179 0.0924 0.7529
0.5821 0.9076 0.2471
0.7417 0.7417 0.7496
0.9076 0.5821 0.2471
```